A relaxed Ho2AlAg3 crystal. Source: the Alexandria database, functional PBE.

It has space group Fmmm (No. 69), with a = 6.776 Å, b = 9.378 Å, c = 16.383 Å, α = 90.00°, β = 90.00° and γ = 90.00°. The asymmetric unit holds Ho at (0.246, 0.000, 0.000), Ho at (0.250, 0.250, 0.250), Al at (0.000, 0.000, 0.333), Ag at (0.000, 0.000, 0.171) and Ag at (0.000, 0.242, 0.415).

As for the total moment: 0.00 μB per formula unit. As for the formation energy: -0.312 eV/atom.